Entry from Alexandria via LeMat-Bulk: a relaxed BeAlPt4 crystal (PBE).

## Properties
Volume: 101.2 Å³/cell
Excess energy over the best structure of this formula in the dataset: 65.45 kJ per mole of atoms
Symmetry: F-43m (216)

abc: 5.231 5.231 5.231
angles: 60.00 60.00 60.00
Element x y z (fractional)
Be  0.000  0.000  0.000
Pt  0.375  0.875  0.375
Pt  0.375  0.375  0.375
Pt  0.375  0.375  0.875
Pt  0.875  0.375  0.375
Al  0.750  0.750  0.750